Record 1
# PBE Sm3Y4Th2, optimized geometry
# * formation energy: 0.031 eV/atom
# * offset from the most stable computed form: 0.00 eV per formula unit
# * E: -6.064 eV per atom
# * M_tot: 0.000 μB/atom
data_Sm3Y4Th2
_symmetry_space_group_name_H-M 'P 1'
_symmetry_Int_Tables_number 1
_cell_length_a 3.599
_cell_length_b 7.993
_cell_length_c 10.786
_cell_angle_alpha 77.41
_cell_angle_beta 90.00
_cell_angle_gamma 103.01
loop_
_symmetry_equiv_pos_as_xyz
'x,y,z'
loop_
_atom_site_label
_atom_site_type_symbol
_atom_site_fract_x
_atom_site_fract_y
_atom_site_fract_z
_atom_site_occupancy
Sm1 Sm 0.670 0.340 0.442 1
Sm2 Sm 0.330 0.660 0.558 1
Sm3 Sm 0.000 0.000 0.000 1
Th1 Th 0.667 0.334 0.778 1
Th2 Th 0.333 0.666 0.222 1
Y1 Y 0.995 0.990 0.332 1
Y2 Y 0.330 0.660 0.889 1
Y3 Y 0.005 0.010 0.668 1
Y4 Y 0.670 0.340 0.111 1

---

Record 2
# PBE Sm3Y6Th, optimized geometry
# * formation energy: 0.240 eV/atom
# * offset from the most stable computed form: 0.80 eV per formula unit
# * E: -5.796 eV per atom
# * M_tot: 0.000 μB/atom
data_Sm3Y6Th
_symmetry_space_group_name_H-M 'P 1'
_symmetry_Int_Tables_number 1
_cell_length_a 9.694
_cell_length_b 6.380
_cell_length_c 6.380
_cell_angle_alpha 114.21
_cell_angle_beta 100.71
_cell_angle_gamma 100.71
loop_
_symmetry_equiv_pos_as_xyz
'x,y,z'
loop_
_atom_site_label
_atom_site_type_symbol
_atom_site_fract_x
_atom_site_fract_y
_atom_site_fract_z
_atom_site_occupancy
Th1 Th 0.000 0.000 0.000 1
Y1 Y 0.844 0.383 0.764 1
Y2 Y 0.156 0.236 0.617 1
Y3 Y 0.156 0.617 0.236 1
Y4 Y 0.844 0.764 0.383 1
Y5 Y 0.308 0.887 0.887 1
Y6 Y 0.692 0.113 0.113 1
Sm1 Sm 0.500 0.500 0.000 1
Sm2 Sm 0.500 0.000 0.500 1
Sm3 Sm 0.500 0.500 0.500 1

---

Record 3
# PBE Sm3Y5Th, optimized geometry
# * formation energy: 0.059 eV/atom
# * E: -5.930 eV per atom
# * M_tot: 0.000 μB/atom
data_Sm3Y5Th
_symmetry_space_group_name_H-M 'P 1'
_symmetry_Int_Tables_number 1
_cell_length_a 7.068
_cell_length_b 9.799
_cell_length_c 9.799
_cell_angle_alpha 120.00
_cell_angle_beta 90.00
_cell_angle_gamma 90.00
loop_
_symmetry_equiv_pos_as_xyz
'x,y,z'
loop_
_atom_site_label
_atom_site_type_symbol
_atom_site_fract_x
_atom_site_fract_y
_atom_site_fract_z
_atom_site_occupancy
Sm1 Sm 0.250 0.665 0.000 1
Sm2 Sm 0.250 0.335 0.335 1
Sm3 Sm 0.250 0.000 0.665 1
Sm4 Sm 0.750 0.665 0.665 1
Sm5 Sm 0.750 0.000 0.335 1
Sm6 Sm 0.750 0.335 0.000 1
Y1 Y 0.500 0.333 0.667 1
Y2 Y 0.750 0.000 0.670 1
Y3 Y 0.000 0.667 0.333 1
Y4 Y 0.250 0.330 0.000 1
Y5 Y 0.000 0.333 0.667 1
Y6 Y 0.750 0.670 0.000 1
Y7 Y 0.250 0.000 0.330 1
Y8 Y 0.750 0.330 0.330 1
Y9 Y 0.500 0.667 0.333 1
Y10 Y 0.250 0.670 0.670 1
Th1 Th 0.000 0.000 0.000 1
Th2 Th 0.500 0.000 0.000 1

---

Please write out number 3 again, unchanged.
# PBE Sm3Y5Th, optimized geometry
# * formation energy: 0.059 eV/atom
# * E: -5.930 eV per atom
# * M_tot: 0.000 μB/atom
data_Sm3Y5Th
_symmetry_space_group_name_H-M 'P 1'
_symmetry_Int_Tables_number 1
_cell_length_a 7.068
_cell_length_b 9.799
_cell_length_c 9.799
_cell_angle_alpha 120.00
_cell_angle_beta 90.00
_cell_angle_gamma 90.00
loop_
_symmetry_equiv_pos_as_xyz
'x,y,z'
loop_
_atom_site_label
_atom_site_type_symbol
_atom_site_fract_x
_atom_site_fract_y
_atom_site_fract_z
_atom_site_occupancy
Sm1 Sm 0.250 0.665 0.000 1
Sm2 Sm 0.250 0.335 0.335 1
Sm3 Sm 0.250 0.000 0.665 1
Sm4 Sm 0.750 0.665 0.665 1
Sm5 Sm 0.750 0.000 0.335 1
Sm6 Sm 0.750 0.335 0.000 1
Y1 Y 0.500 0.333 0.667 1
Y2 Y 0.750 0.000 0.670 1
Y3 Y 0.000 0.667 0.333 1
Y4 Y 0.250 0.330 0.000 1
Y5 Y 0.000 0.333 0.667 1
Y6 Y 0.750 0.670 0.000 1
Y7 Y 0.250 0.000 0.330 1
Y8 Y 0.750 0.330 0.330 1
Y9 Y 0.500 0.667 0.333 1
Y10 Y 0.250 0.670 0.670 1
Th1 Th 0.000 0.000 0.000 1
Th2 Th 0.500 0.000 0.000 1